A plane-wave DFT calculation with PBE-GGA was carried out for a relaxed Rb2Cd12Ag3Au crystal.

## Properties
The space group is R-3m, No. 166. The value obtained for the formation energy is 0.112 eV per atom. The value obtained for the total magnetization is 0.00 μB/f.u.

Cell and atoms, written as CIF:
```
data_Rb2Cd12Ag3Au
_chemical_formula_sum 'Rb2 Cd12 Ag3 Au1'
_cell_length_a 9.263
_cell_length_b 9.263
_cell_length_c 9.263
_cell_angle_alpha 62.60
_cell_angle_beta 62.60
_cell_angle_gamma 62.60
_space_group_name_H-M_alt 'P 1'
_space_group_IT_number 1
_space_group_name_Hall 'P 1'
loop_
_atom_site_label
_atom_site_type_symbol
_atom_site_fract_x
_atom_site_fract_y
_atom_site_fract_z
_atom_site_occupancy
Rb1 Rb 0.097 0.097 0.097 1
Rb2 Rb 0.903 0.903 0.903 1
Cd1 Cd 0.148 0.617 0.617 1
Cd2 Cd 0.158 0.158 0.499 1
Cd3 Cd 0.158 0.499 0.158 1
Cd4 Cd 0.383 0.383 0.852 1
Cd5 Cd 0.383 0.852 0.383 1
Cd6 Cd 0.499 0.158 0.158 1
Cd7 Cd 0.501 0.842 0.842 1
Cd8 Cd 0.617 0.148 0.617 1
Cd9 Cd 0.617 0.617 0.148 1
Cd10 Cd 0.842 0.501 0.842 1
Cd11 Cd 0.842 0.842 0.501 1
Cd12 Cd 0.852 0.383 0.383 1
Ag1 Ag 0.000 0.500 0.500 1
Ag2 Ag 0.500 0.000 0.500 1
Ag3 Ag 0.500 0.500 0.000 1
Au1 Au 0.500 0.500 0.500 1
```

=====

A plane-wave DFT calculation with PBE-GGA was carried out for a relaxed CsThInS4 crystal.

## Properties
The space group is Imma, No. 74. As for the raw formation energy: -1.1770 eV/atom. The value obtained for the total magnetization is 0.00 μB/f.u.

Cell and atoms, written as CIF:
```
data_CsThInS4
_chemical_formula_sum 'Cs2 Th2 In2 S8'
_cell_length_a 8.746
_cell_length_b 8.746
_cell_length_c 8.746
_cell_angle_alpha 125.59
_cell_angle_beta 119.72
_cell_angle_gamma 85.54
_space_group_name_H-M_alt 'P 1'
_space_group_IT_number 1
_space_group_name_Hall 'P 1'
loop_
_atom_site_label
_atom_site_type_symbol
_atom_site_fract_x
_atom_site_fract_y
_atom_site_fract_z
_atom_site_occupancy
Cs1 Cs 0.399 0.149 0.250 1
Cs2 Cs 0.601 0.851 0.750 1
Th1 Th 0.000 0.500 0.500 1
Th2 Th 0.500 0.500 0.000 1
In1 In 0.000 0.000 0.500 1
In2 In 0.000 0.500 0.000 1
S1 S 0.166 0.723 0.443 1
S2 S 0.220 0.277 0.943 1
S3 S 0.231 0.267 0.536 1
S4 S 0.231 0.695 0.964 1
S5 S 0.769 0.305 0.036 1
S6 S 0.769 0.733 0.464 1
S7 S 0.780 0.723 0.057 1
S8 S 0.834 0.277 0.557 1
```

=====

A plane-wave DFT calculation with PBE-GGA was carried out for a relaxed Ac5NiRu crystal.

## Properties
The space group is C2/c, No. 15. The value obtained for the formation energy is -0.043 eV per atom. The value obtained for the total magnetization is 0.00 μB/f.u.

Cell and atoms, written as CIF:
```
data_Ac5NiRu
_chemical_formula_sum 'Ac10 Ni2 Ru2'
_cell_length_a 7.154
_cell_length_b 7.154
_cell_length_c 11.364
_cell_angle_alpha 106.91
_cell_angle_beta 106.91
_cell_angle_gamma 79.72
_space_group_name_H-M_alt 'P 1'
_space_group_IT_number 1
_space_group_name_Hall 'P 1'
loop_
_atom_site_label
_atom_site_type_symbol
_atom_site_fract_x
_atom_site_fract_y
_atom_site_fract_z
_atom_site_occupancy
Ac1 Ac 0.133 0.233 0.008 1
Ac2 Ac 0.233 0.133 0.508 1
Ac3 Ac 0.234 0.569 0.356 1
Ac4 Ac 0.249 0.751 0.750 1
Ac5 Ac 0.431 0.766 0.144 1
Ac6 Ac 0.569 0.234 0.856 1
Ac7 Ac 0.751 0.249 0.250 1
Ac8 Ac 0.766 0.431 0.644 1
Ac9 Ac 0.767 0.867 0.492 1
Ac10 Ac 0.867 0.767 0.992 1
Ni1 Ni 0.078 0.922 0.250 1
Ni2 Ni 0.922 0.078 0.750 1
Ru1 Ru 0.000 0.500 0.500 1
Ru2 Ru 0.500 0.000 0.000 1
```